A geometry-optimized RbZrTl2 structure. Source: Alexandria via LeMat-Bulk, functional PBE-GGA.

extended XYZ file:
```
4
Lattice="3.669 0.000 0.000 0.000 3.669 0.000 0.000 0.000 9.092" Properties=species:S:1:pos:R:3 pbc="T T T"
Rb 0.000 0.000 0.000
Zr 0.000 0.000 4.546
Tl 1.835 1.835 2.783
Tl 1.835 1.835 6.309
```

Calculated values
Uncorrected energy (eV per atom): -3.476
DOS(E_F) (states/eV per cell): 2.59
Calculated volume (Å³/f.u.): 122.41
Space group: No. 123
Excess energy over the best structure of this formula in the dataset (meV per atom): 0.0
E_form (eV per atom): 0.0862

=====

A geometry-optimized RbZr3Tl structure. Source: Alexandria via LeMat-Bulk, functional PBE-GGA.

extended XYZ file:
```
5
Lattice="5.589 0.000 0.000 0.000 5.589 0.000 0.000 0.000 5.589" Properties=species:S:1:pos:R:3 pbc="T T T"
Rb 0.000 0.000 0.000
Zr 0.000 2.795 2.795
Zr 2.795 0.000 2.795
Zr 2.795 2.795 0.000
Tl 2.795 2.795 2.795
```

Calculated values
Uncorrected energy (eV per atom): -4.502
DOS(E_F) (states/eV per cell): 7.82
Calculated volume (Å³/f.u.): 174.58
Space group: No. 221
Excess energy over the best structure of this formula in the dataset (meV per atom): 0.0
E_form (eV per atom): 1.2937

=====

A geometry-optimized RbZr2Tl structure. Source: Alexandria via LeMat-Bulk, functional PBE-GGA.

extended XYZ file:
```
8
Lattice="-2.282 2.282 11.352 2.282 -2.282 11.352 2.282 2.282 -11.352" Properties=species:S:1:pos:R:3 pbc="T T T"
Rb 0.000 0.000 0.000
Rb 0.000 2.282 5.676
Zr 1.141 -0.966 8.514
Zr 1.316 1.141 2.838
Zr 1.141 3.248 -2.838
Zr 0.966 1.141 14.190
Tl 2.282 0.000 5.676
Tl 0.000 0.000 11.352
```

Calculated values
Uncorrected energy (eV per atom): -4.196
DOS(E_F) (states/eV per cell): 8.70
Calculated volume (Å³/f.u.): 118.25
Space group: No. 122
Excess energy over the best structure of this formula in the dataset (meV per atom): 42.8
E_form (eV per atom): 0.9112

=====

A geometry-optimized RbZrTl2 structure. Source: Alexandria via LeMat-Bulk, functional PBE-GGA.

extended XYZ file:
```
8
Lattice="-3.024 3.024 9.671 3.024 -3.024 9.671 3.024 3.024 -9.671" Properties=species:S:1:pos:R:3 pbc="T T T"
Rb 0.000 0.000 0.000
Rb 0.000 3.024 4.835
Zr 3.024 0.000 4.835
Zr 0.000 0.000 9.671
Tl 1.512 -0.659 7.253
Tl 2.365 1.512 2.418
Tl 1.512 3.684 -2.418
Tl 0.659 1.512 12.088
```

Calculated values
Uncorrected energy (eV per atom): -2.993
DOS(E_F) (states/eV per cell): 10.53
Calculated volume (Å³/f.u.): 176.92
Space group: No. 122
Excess energy over the best structure of this formula in the dataset (meV per atom): 482.5
E_form (eV per atom): 0.5687

=====

A geometry-optimized RbZr2Tl structure. Source: Alexandria via LeMat-Bulk, functional PBE-GGA.

extended XYZ file:
```
4
Lattice="0.000 3.715 3.715 3.715 0.000 3.715 3.715 3.715 0.000" Properties=species:S:1:pos:R:3 pbc="T T T"
Rb 0.000 0.000 0.000
Zr 1.858 1.858 1.858
Zr 5.573 5.573 5.573
Tl 3.715 3.715 3.715
```

Calculated values
Uncorrected energy (eV per atom): -4.239
DOS(E_F) (states/eV per cell): 6.80
Calculated volume (Å³/f.u.): 102.55
Space group: No. 225
Excess energy over the best structure of this formula in the dataset (meV per atom): 0.0
E_form (eV per atom): 0.8684

=====

A geometry-optimized RbZr3Tl structure. Source: Alexandria via LeMat-Bulk, functional PBE-GGA.

extended XYZ file:
```
5
Lattice="5.093 0.000 0.000 0.000 5.093 0.000 0.000 0.000 5.093" Properties=species:S:1:pos:R:3 pbc="T T T"
Rb 0.000 0.000 0.000
Zr 0.000 0.000 2.547
Zr 0.000 2.547 0.000
Zr 2.547 0.000 0.000
Tl 2.547 2.547 2.547
```

Calculated values
Uncorrected energy (eV per atom): -3.865
DOS(E_F) (states/eV per cell): 2.27
Calculated volume (Å³/f.u.): 132.11
Space group: No. 221
Excess energy over the best structure of this formula in the dataset (meV per atom): 637.1
E_form (eV per atom): 1.9309

=====

Copy entry 3 word for word.
A geometry-optimized RbZr2Tl structure. Source: Alexandria via LeMat-Bulk, functional PBE-GGA.

extended XYZ file:
```
8
Lattice="-2.282 2.282 11.352 2.282 -2.282 11.352 2.282 2.282 -11.352" Properties=species:S:1:pos:R:3 pbc="T T T"
Rb 0.000 0.000 0.000
Rb 0.000 2.282 5.676
Zr 1.141 -0.966 8.514
Zr 1.316 1.141 2.838
Zr 1.141 3.248 -2.838
Zr 0.966 1.141 14.190
Tl 2.282 0.000 5.676
Tl 0.000 0.000 11.352
```

Calculated values
Uncorrected energy (eV per atom): -4.196
DOS(E_F) (states/eV per cell): 8.70
Calculated volume (Å³/f.u.): 118.25
Space group: No. 122
Excess energy over the best structure of this formula in the dataset (meV per atom): 42.8
E_form (eV per atom): 0.9112

=====

The highest DOS(E_F) belongs to which entry? number 4

=====

The lowest E_form belongs to which entry? number 1

=====

The highest excess energy over the best structure of this formula in the dataset belongs to which entry? number 6